Entry from the Alexandria database: a relaxed Pu2AlSi4Ir3 crystal (GGA-PBE).

total DFT energy (no corrections): -0.3235 hartree per atom
space-group type: P-4m2 (115)
formation energy without anion corrections: -7.35 eV/f.u.
V: 17.2 Å³/atom

Cell: 4.0939 4.0939 10.2523 Å, 90.00 90.00 90.00°
Positions (direct):
Pu 0.5000 0.0000 0.2442
Pu 0.0000 0.5000 0.7558
Al 0.5000 0.5000 0.5000
Si 0.5000 0.5000 0.0000
Si 0.0000 0.0000 0.0000
Si 0.5000 0.0000 0.6432
Si 0.0000 0.5000 0.3568
Ir 0.0000 0.0000 0.5000
Ir 0.5000 0.0000 0.8754
Ir 0.0000 0.5000 0.1246